1.
# ScSn2Pd2 | Alexandria via LeMat-Bulk | PBE | relaxed
data_ScSn2Pd2
_symmetry_space_group_name_H-M 'P 1'
_symmetry_Int_Tables_number 1
_symmetry_space_group_name_Hall 'P 1'
_cell_length_a 4.647
_cell_length_b 4.715
_cell_length_c 9.458
_cell_angle_alpha 90.00
_cell_angle_beta 90.01
_cell_angle_gamma 90.00
loop_
_atom_site_label
_atom_site_fract_x
_atom_site_fract_y
_atom_site_fract_z
Sc1 0.249 0.250 0.327
Sc2 0.751 0.750 0.673
Sn1 0.250 0.250 0.667
Sn2 0.250 0.250 0.999
Sn3 0.750 0.750 0.001
Sn4 0.750 0.750 0.333
Pd1 0.250 0.750 0.170
Pd2 0.251 0.750 0.508
Pd3 0.749 0.250 0.492
Pd4 0.750 0.250 0.830
# energy = -5.651 eV per atom


2.
# LiSi2Ni | Alexandria via LeMat-Bulk | PBE | relaxed
data_LiSi2Ni
_symmetry_space_group_name_H-M 'P 1'
_symmetry_Int_Tables_number 1
_symmetry_space_group_name_Hall 'P 1'
_cell_length_a 2.624
_cell_length_b 2.624
_cell_length_c 7.434
_cell_angle_alpha 90.00
_cell_angle_beta 90.00
_cell_angle_gamma 90.00
loop_
_atom_site_label
_atom_site_fract_x
_atom_site_fract_y
_atom_site_fract_z
Li1 0.000 0.000 0.000
Si1 0.500 0.500 0.282
Si2 0.500 0.500 0.718
Ni1 0.000 0.000 0.500
# distance to the lowest polymorph of the same formula = 63 meV per atom
# raw formation energy = -0.293 eV/atom


3.
# KTlGeH2 | Alexandria via LeMat-Bulk | PBE | relaxed
data_KTlGeH2
_symmetry_space_group_name_H-M 'P 1'
_symmetry_Int_Tables_number 1
_symmetry_space_group_name_Hall 'P 1'
_cell_length_a 4.404
_cell_length_b 4.404
_cell_length_c 7.105
_cell_angle_alpha 90.00
_cell_angle_beta 90.00
_cell_angle_gamma 90.00
loop_
_atom_site_label
_atom_site_fract_x
_atom_site_fract_y
_atom_site_fract_z
K1 0.000 0.000 0.000
Tl1 0.000 0.000 0.500
Ge1 0.500 0.500 0.500
H1 0.000 0.500 0.000
H2 0.500 0.000 0.000
# energy = -2.068 eV per atom